[1]
Material: LiMgTl
Method: DFT, GGA-PBE
State: optimized geometry

Geometry as extended XYZ:
```
3
Lattice="4.8059 0.0000 0.0000 -2.4029 4.1620 0.0000 0.0000 0.0000 3.2723" Properties=species:S:1:pos:R:3 pbc="T T T"
Li 0.0000 0.0000 3.0561
Mg 0.0000 2.7747 1.1066
Tl 2.4029 1.3873 2.3818
```

Calculated values
- Symmetry: P3m1
- D(E_F): 0.512 states/eV/f.u.
- Electronic total energy: -2.0920 eV per atom

[2]
Material: LiMgTl3
Method: DFT, GGA-PBE
State: optimized geometry

Geometry as extended XYZ:
```
5
Lattice="5.1748 0.0000 0.0000 0.0000 5.1748 0.0000 0.0000 0.0000 5.1748" Properties=species:S:1:pos:R:3 pbc="T T T"
Tl 2.5874 0.0000 0.0000
Tl 0.0000 0.0000 2.5874
Tl 0.0000 2.5874 0.0000
Mg 2.5874 2.5874 2.5874
Li 0.0000 0.0000 0.0000
```

Calculated values
- Symmetry: Pm-3m
- D(E_F): 2.481 states/eV/f.u.
- Electronic total energy: -1.9955 eV per atom

[3]
Material: LiMg2Tl6
Method: DFT, GGA-PBE
State: optimized geometry

Geometry as extended XYZ:
```
9
Lattice="4.9166 0.0000 1.8810 2.2958 5.7843 1.3652 -0.3473 -0.4761 8.2738" Properties=species:S:1:pos:R:3 pbc="T T T"
Mg 2.1953 4.1303 1.6280
Mg 4.6698 1.1779 9.8921
Tl 3.0036 5.3806 6.8811
Tl 4.8726 4.2530 9.3619
Tl 1.9925 1.0552 2.1582
Tl 4.0109 3.3561 4.2483
Tl 2.8542 1.9521 7.2718
Tl 3.8615 -0.0725 4.6390
Li 0.9742 2.6541 4.8195
```

Calculated values
- Symmetry: C2/m
- D(E_F): 3.615 states/eV/f.u.
- Electronic total energy: -2.1795 eV per atom

[4]
Material: Li12MgTl3
Method: DFT, GGA-PBE
State: optimized geometry

Geometry as extended XYZ:
```
16
Lattice="-2.4401 3.1620 1.2076 -0.0125 -1.4971 3.8948 14.3789 9.6603 3.7593" Properties=species:S:1:pos:R:3 pbc="T T T"
Tl 3.6171 2.4301 0.9457
Tl 7.1894 4.8301 1.8796
Tl 10.7618 7.2302 2.8136
Li -1.2263 0.8325 2.5512
Li 12.5351 7.6772 5.2262
Li 0.6175 2.8155 1.0842
Li 5.3694 2.8630 3.3528
Li 4.1556 5.1926 2.0092
Li 7.7832 7.6297 2.9576
Li 1.8313 0.4860 2.4278
Li 2.3723 3.2501 3.4920
Li 5.9632 5.6626 4.4308
Li 8.9970 5.3002 4.3012
Li 11.3213 10.0068 3.8827
Li 9.5541 8.0751 5.3696
Mg 0.0000 0.0000 0.0000
```

Calculated values
- Symmetry: P4/mmm
- D(E_F): 5.946 states/eV/f.u.
- Electronic total energy: -2.1289 eV per atom

[5]
Material: Li6Mg4Tl
Method: DFT, GGA-PBE
State: optimized geometry

Geometry as extended XYZ:
```
11
Lattice="7.3415 -2.5465 -5.1583 -5.4056 6.4913 1.6221 -2.4964 1.9784 7.9899" Properties=species:S:1:pos:R:3 pbc="T T T"
Mg 1.5975 2.2253 0.8472
Mg 1.1412 3.2713 3.8683
Mg 0.0358 4.9876 1.4470
Mg -3.7639 6.8762 6.5924
Li -1.6711 3.3453 3.1337
Li -0.2438 0.7485 2.5955
Li -1.2872 2.3673 0.3116
Li -3.2637 5.7879 3.5630
Li 2.8329 0.2946 -1.0845
Li -2.1792 4.1065 5.9356
Tl -0.5123 5.7635 4.3182
```

Calculated values
- Symmetry: Cm
- D(E_F): 3.504 states/eV/f.u.
- Electronic total energy: -1.9160 eV per atom

[6]
Material: Li2Mg6Tl
Method: DFT, GGA-PBE
State: optimized geometry

Geometry as extended XYZ:
```
18
Lattice="-0.7793 -4.5278 0.4581 9.0493 -1.6748 -1.1594 1.3029 0.7009 9.1571" Properties=species:S:1:pos:R:3 pbc="T T T"
Mg 5.9104 -5.2965 4.2441
Mg 1.1291 -2.5433 0.0534
Mg 7.5831 -3.4253 2.3130
Mg 3.2316 -0.4412 1.1426
Mg 1.9897 -2.0764 6.1429
Mg 1.1029 0.5800 7.6205
Mg 5.0231 -2.6367 5.7599
Mg 4.5498 -2.8650 2.6960
Mg 6.3413 -5.0605 7.3132
Mg 8.4438 -2.9584 8.4024
Mg 8.4700 -6.0817 0.8353
Mg 3.6625 -0.2052 4.2117
Li 4.1342 0.0225 7.2694
Li 5.4387 -5.5242 1.1865
Li 8.0440 -3.1993 5.3356
Li 1.5289 -2.3024 3.1202
Tl 0.6515 0.3505 4.5786
Tl 4.1350 -3.1013 -0.3507
```

Calculated values
- Symmetry: P4_2/mnm
- D(E_F): 4.302 states/eV/f.u.
- Electronic total energy: -1.8025 eV per atom

[7]
Material: Li9Mg4Tl
Method: DFT, GGA-PBE
State: optimized geometry

Geometry as extended XYZ:
```
28
Lattice="-4.3268 3.9378 7.7093 -3.5941 -7.6695 1.9003 7.7576 2.0910 3.2858" Properties=species:S:1:pos:R:3 pbc="T T T"
Li -0.1220 0.9445 11.1528
Li 3.0968 2.1932 7.1376
Li 1.7242 -0.7357 7.8633
Li -4.6342 -1.0008 7.0220
Li -1.5517 -0.1699 8.3276
Li -2.9799 -3.2174 9.0827
Li 1.3885 -1.4708 4.5678
Li 1.5487 -4.7156 3.7232
Li 1.2506 3.8734 10.4271
Li 0.1342 1.3947 5.8828
Li -1.8875 -0.9050 5.0321
Li -0.2975 -3.0354 7.0126
Li -3.2600 -3.8339 5.7578
Li -1.4138 -5.5141 2.4683
Li -1.7120 3.0749 9.1723
Li -0.0413 -2.5852 1.7426
Li 2.8166 1.5767 3.8127
Li 4.4710 -0.6399 5.8734
Mg 5.3469 1.9327 5.0509
Mg -2.1634 1.9689 3.8547
Mg 0.3140 0.5761 2.9192
Mg -5.5101 -3.5734 7.8445
Mg -3.1784 1.4022 6.6117
Mg 3.0152 -3.0429 6.2838
Mg -0.4773 -2.2168 9.9762
Mg 0.0000 0.0000 0.0000
Tl -0.8919 -3.4316 4.2895
Tl 0.7286 1.7908 8.6060
```

Calculated values
- Symmetry: P6_3/mmc
- D(E_F): 4.762 states/eV/f.u.
- Electronic total energy: -1.8703 eV per atom

[8]
Material: LiMg4Tl
Method: DFT, GGA-PBE
State: optimized geometry

Geometry as extended XYZ:
```
6
Lattice="-5.6566 -0.2560 1.7558 -3.8508 4.1345 -1.7950 -4.2505 -1.3972 -3.8892" Properties=species:S:1:pos:R:3 pbc="T T T"
Mg -5.1594 0.9306 -1.4732
Mg -7.9874 0.8026 -0.5954
Mg -7.2845 0.2321 -3.4176
Mg -7.0846 2.9976 -2.3706
Li 0.0000 0.0000 0.0000
Tl -10.3185 1.8611 -2.9463
```

Calculated values
- Symmetry: F-43m
- D(E_F): 1.747 states/eV/f.u.
- Electronic total energy: -1.7365 eV per atom

[9]
Material: LiMgTl
Method: DFT, GGA-PBE
State: optimized geometry

Geometry as extended XYZ:
```
3
Lattice="4.7811 0.0000 0.0000 2.3905 4.1405 0.0000 2.3905 1.3802 3.9037" Properties=species:S:1:pos:R:3 pbc="T T T"
Tl 2.3905 1.3802 0.9759
Li 0.0000 0.0000 0.0000
Mg 4.7811 2.7604 1.9519
```

Calculated values
- Symmetry: F-43m
- D(E_F): 2.720 states/eV/f.u.
- Electronic total energy: -1.9387 eV per atom

[10]
Material: LiMg2Tl
Method: DFT, GGA-PBE
State: optimized geometry

Geometry as extended XYZ:
```
4
Lattice="3.7946 0.0000 0.0000 0.0000 4.8156 0.0000 -1.8973 -2.4078 4.8316" Properties=species:S:1:pos:R:3 pbc="T T T"
Mg 1.8973 2.4078 2.3829
Mg 0.0000 0.0000 2.4487
Li 0.0000 2.4078 0.0000
Tl 1.8973 0.0000 0.0000
```

Calculated values
- Symmetry: Immm
- D(E_F): 1.638 states/eV/f.u.
- Electronic total energy: -1.9581 eV per atom

[11]
Material: Li7Mg2Tl2
Method: DFT, GGA-PBE
State: optimized geometry

Geometry as extended XYZ:
```
11
Lattice="4.7129 0.0000 -1.1779 -0.7956 7.0079 -3.1832 -0.6614 -0.9990 7.3709" Properties=species:S:1:pos:R:3 pbc="T T T"
Li 1.6081 6.5912 -3.5829
Li 0.1344 2.8649 0.5378
Li 3.4318 0.4099 3.7139
Li 2.9191 4.7342 1.6625
Li 0.8138 2.7613 3.2563
Li 0.4530 0.2503 1.8127
Li 2.2205 5.1993 -1.1330
Mg -0.4912 4.3267 -1.9653
Mg 2.0945 2.3071 -1.6369
Tl 0.2390 5.6928 0.9561
Tl 2.8383 1.8897 1.3389
```

Calculated values
- Symmetry: Imm2
- D(E_F): 4.487 states/eV/f.u.
- Electronic total energy: -2.0618 eV per atom

[12]
Material: Li7Mg2Tl2
Method: DFT, GGA-PBE
State: optimized geometry

Geometry as extended XYZ:
```
11
Lattice="-2.2795 1.2512 -6.8925 -5.5095 0.8213 1.0611 1.3700 5.4903 -0.3666" Properties=species:S:1:pos:R:3 pbc="T T T"
Tl -3.5031 3.4499 -5.5982
Tl -2.9159 4.1129 -0.5998
Li -4.4434 5.8510 -2.2767
Li -0.3397 2.9163 -1.3502
Li -6.0793 4.6465 -4.8478
Li -1.9756 1.7118 -3.9214
Li 0.0000 0.0000 0.0000
Li -2.8931 1.1834 -0.8203
Li -3.5259 6.3795 -5.3777
Mg -4.5293 2.8857 -2.8251
Mg -1.8897 4.6771 -3.3729
```

Calculated values
- Symmetry: C2/m
- D(E_F): 3.979 states/eV/f.u.
- Electronic total energy: -2.0615 eV per atom